No. 1
# NbOsSeBr2 (PBE, optimized geometry)
data_NbOsSeBr2
_symmetry_space_group_name_H-M 'P 1'
_symmetry_Int_Tables_number 1
_cell_length_a 5.1967
_cell_length_b 5.1967
_cell_length_c 5.0294
_cell_angle_alpha 90.00
_cell_angle_beta 90.00
_cell_angle_gamma 90.00
loop_
_symmetry_equiv_pos_as_xyz
'x,y,z'
loop_
_atom_site_label
_atom_site_type_symbol
_atom_site_fract_x
_atom_site_fract_y
_atom_site_fract_z
_atom_site_occupancy
Os1 Os 0.5000 0.5000 0.5000 1
Nb1 Nb 0.0000 0.0000 0.0000 1
Br1 Br 0.0000 0.5000 0.0000 1
Br2 Br 0.5000 0.0000 0.0000 1
Se1 Se 0.0000 0.0000 0.5000 1
# crystal system: tetragonal
# energy relative to the elements, uncorrected: 1.09 eV/atom

=====

No. 2
# TcHg3H (PBE, optimized geometry)
data_TcHg3H
_symmetry_space_group_name_H-M 'P 1'
_symmetry_Int_Tables_number 1
_cell_length_a 5.3908
_cell_length_b 5.3908
_cell_length_c 5.3908
_cell_angle_alpha 90.00
_cell_angle_beta 90.00
_cell_angle_gamma 90.00
loop_
_symmetry_equiv_pos_as_xyz
'x,y,z'
loop_
_atom_site_label
_atom_site_type_symbol
_atom_site_fract_x
_atom_site_fract_y
_atom_site_fract_z
_atom_site_occupancy
Tc1 Tc 0.0000 0.0000 0.0000 1
Hg1 Hg 0.0000 0.5000 0.0000 1
Hg2 Hg 0.5000 0.0000 0.0000 1
Hg3 Hg 0.0000 0.0000 0.5000 1
H1 H 0.5000 0.5000 0.5000 1
# crystal system: cubic

=====

No. 3
# Rb2Na3Au4 (PBE, optimized geometry)
data_Rb2Na3Au4
_symmetry_space_group_name_H-M 'P 1'
_symmetry_Int_Tables_number 1
_cell_length_a 8.2131
_cell_length_b 8.2989
_cell_length_c 8.3986
_cell_angle_alpha 90.00
_cell_angle_beta 90.00
_cell_angle_gamma 109.52
loop_
_symmetry_equiv_pos_as_xyz
'x,y,z'
loop_
_atom_site_label
_atom_site_type_symbol
_atom_site_fract_x
_atom_site_fract_y
_atom_site_fract_z
_atom_site_occupancy
Na1 Na 0.2482 0.7423 0.1713 1
Na2 Na 0.2518 0.2577 0.6713 1
Na3 Na 0.7518 0.2577 0.8287 1
Na4 Na 0.0000 0.5000 0.5000 1
Na5 Na 0.7482 0.7423 0.3287 1
Na6 Na 0.5000 0.5000 0.0000 1
Rb1 Rb 0.9433 0.8164 0.8321 1
Rb2 Rb 0.5567 0.1836 0.3321 1
Rb3 Rb 0.0567 0.1836 0.1679 1
Rb4 Rb 0.4433 0.8164 0.6679 1
Au1 Au 0.6185 0.9106 0.0457 1
Au2 Au 0.1185 0.9106 0.4543 1
Au3 Au 0.3733 0.5065 0.3805 1
Au4 Au 0.8733 0.5065 0.1195 1
Au5 Au 0.8815 0.0894 0.5457 1
Au6 Au 0.1267 0.4935 0.8805 1
Au7 Au 0.6267 0.4935 0.6195 1
Au8 Au 0.3815 0.0894 0.9543 1
# formation enthalpy at 0 K: -0.273 eV/atom
# crystal system: monoclinic

=====

No. 4
# DyTe2S6 (PBE, optimized geometry)
data_DyTe2S6
_symmetry_space_group_name_H-M 'P 1'
_symmetry_Int_Tables_number 1
_cell_length_a 7.9389
_cell_length_b 7.3030
_cell_length_c 8.8909
_cell_angle_alpha 82.06
_cell_angle_beta 96.49
_cell_angle_gamma 88.33
loop_
_symmetry_equiv_pos_as_xyz
'x,y,z'
loop_
_atom_site_label
_atom_site_type_symbol
_atom_site_fract_x
_atom_site_fract_y
_atom_site_fract_z
_atom_site_occupancy
S1 S 0.5877 0.1126 0.7118 1
S2 S 0.6720 0.7516 0.0740 1
S3 S 0.8606 0.3331 0.9500 1
S4 S 0.9597 0.4570 0.6087 1
S5 S 0.4123 0.8874 0.2882 1
S6 S 0.5396 0.6098 0.6680 1
S7 S 0.0403 0.5430 0.3913 1
S8 S 0.3280 0.2484 0.9260 1
S9 S 0.4604 0.3902 0.3320 1
S10 S 0.1712 0.9946 0.5846 1
S11 S 0.8288 0.0054 0.4154 1
S12 S 0.1394 0.6669 0.0500 1
Dy1 Dy 0.2922 0.3385 0.6001 1
Dy2 Dy 0.7078 0.6615 0.3999 1
Te1 Te 0.1512 0.3316 0.1057 1
Te2 Te 0.8488 0.6684 0.8943 1
Te3 Te 0.6009 0.1201 0.2299 1
Te4 Te 0.3991 0.8799 0.7701 1
# crystal system: triclinic
# energy relative to the elements, uncorrected: -0.42 eV/atom

=====

| no. | total energy (eV/cell) |
| --- | --- |
| 1 | -22.699 |
| 2 | -9.355 |
| 3 | -42.908 |
| 4 | -78.884 |